A plane-wave DFT calculation with PBE was carried out for a relaxed LaPrTm crystal.

Computed properties:
- ΔH_f (0 K) (eV/atom) = 0.037
- total magnetization (Bohr magnetons per cell) = 0.000
- total energy (eV/atom) = -4.69
- energy relative to the lowest polymorph listed for this composition (eV/f.u.) = 0.04

Structure (CIF):
```
data_LaPrTm
_chemical_formula_sum 'La4 Pr4 Tm4'
_space_group_name_H-M_alt 'C m c m'
_space_group_IT_number 63
_space_group_name_Hall '-C 2c 2'
_cell_length_a 3.566
_cell_length_b 20.896
_cell_length_c 5.574
_cell_angle_alpha 90.00
_cell_angle_beta 90.00
_cell_angle_gamma 90.00
loop_
_atom_site_label
_atom_site_fract_x
_atom_site_fract_y
_atom_site_fract_z
_atom_site_occupancy
La1 0.000 0.113 0.250 1
Pr1 0.000 0.292 0.250 1
Tm1 0.000 0.459 0.250 1
```